1.
Material: AcLaHo
Method: DFT, PBE
State: optimized geometry

The structure in extended XYZ format:
```
3
Lattice="-1.701 -3.619 4.090 -0.476 -5.585 -1.140 3.719 -3.708 2.266" Properties=species:S:1:pos:R:3 pbc="T T T"
Ac 1.157 -9.684 3.912
Ho 0.000 0.000 0.000
La 0.386 -3.228 1.304
```

Properties
The final energy is -3.923 eV per atom. The value obtained for the energy of formation from the pure elements is 1.84 eV/f.u. The value obtained for the relative energy among the computed polymorphs is 0.0 kJ/mol of atoms. As for the density: 6661 kg/m3.

2.
Material: AcHoMg
Method: DFT, PBE
State: optimized geometry

The structure in extended XYZ format:
```
3
Lattice="-0.590 -0.313 5.482 1.900 4.066 3.218 -3.540 3.353 2.592" Properties=species:S:1:pos:R:3 pbc="T T T"
Ac 0.000 0.000 0.000
Ho -0.557 1.777 2.823
Mg -1.672 5.330 8.469
```

Properties
The final energy is -2.657 eV per atom. The value obtained for the relative energy among the computed polymorphs is 36.5 kJ/mol of atoms. As for the density: 5804 kg/m3.

3.
Material: AcHoMg
Method: DFT, PBE
State: optimized geometry

The structure in extended XYZ format:
```
3
Lattice="-4.918 0.869 2.191 -3.725 2.905 -2.726 -4.391 -2.470 -2.088" Properties=species:S:1:pos:R:3 pbc="T T T"
Ac -3.259 0.326 -0.656
Ho -9.776 0.978 -1.967
Mg 0.000 0.000 0.000
```

Properties
The final energy is -3.035 eV per atom. The value obtained for the relative energy among the computed polymorphs is 0.0 kJ/mol of atoms. As for the density: 6025 kg/m3.

4.
Material: AcHoNO
Method: DFT, PBE
State: optimized geometry

The structure in extended XYZ format:
```
16
Lattice="-5.407 3.968 1.747 -5.145 -5.220 -4.069 -0.654 -2.883 4.525" Properties=species:S:1:pos:R:3 pbc="T T T"
Ac -2.245 -1.816 -1.204
Ac -6.297 -1.201 -1.397
Ac -4.638 -1.741 1.726
Ac -8.691 -1.126 1.533
Ho -3.795 1.682 0.674
Ho -5.065 -4.333 -3.342
Ho -5.845 1.504 3.493
Ho -7.115 -4.511 -0.522
N -5.534 2.803 1.618
N -6.913 -3.323 -2.484
N -4.094 0.065 3.310
N -5.473 -6.061 -0.792
O -3.997 -0.231 -0.477
O -8.374 0.055 -0.927
O -2.555 -2.970 1.215
O -6.933 -2.685 0.764
```

Properties
The final energy is -7.523 eV per atom. The value obtained for the relative energy among the computed polymorphs is 0.0 kJ/mol of atoms. As for the density: 8924 kg/m3.